Crystalline TaOs4Ru at its relaxed geometry, computed with PBE. Values from VASP.

The structure in Quantum ESPRESSO input format:
```
&SYSTEM
  ibrav = 0, nat = 6, ntyp = 3
/
ATOMIC_SPECIES
Ta 180.95 Ta.upf
Os 190.23 Os.upf
Ru 101.07 Ru.upf
CELL_PARAMETERS angstrom
0.000 3.616 3.616
3.616 0.000 3.616
3.616 3.616 0.000
ATOMIC_POSITIONS angstrom
Ta 0.000 0.000 0.000
Os 2.719 4.514 4.514
Os 4.514 4.514 2.719
Os 4.514 2.719 4.514
Os 2.719 2.719 2.719
Ru 5.425 5.425 5.425
```

Computed properties:
- DOS at the Fermi energy: 9.70 states/eV per cell
- DFT formation energy: 2.13 eV per formula unit
- Relative energy among the computed polymorphs: 2.45 eV per formula unit